# Sr3PdBr3

Crystalline Sr3PdBr3 at its relaxed geometry (PBE, Alexandria via LeMat-Bulk).

Unit cell a=12.6468 b=12.6468 c=12.6468 alpha=90.00 beta=90.00 gamma=90.00
Space group I4_132 (No. 214)
Asymmetric unit:
Sr  0.1189  0.3689  0.1250
Pd  0.1250  0.1250  0.1250
Br  0.1244  0.3750  0.3744

Computed properties:
electronic total energy: -206.1 eV/cell
ΔE_f (raw): -1.500 eV/atom
density: 4.00 g/cm³
magnetization: 1.7 μB per cell

# SrPdBr3

Crystalline SrPdBr3 at its relaxed geometry (PBE, Alexandria via LeMat-Bulk).

Unit cell a=5.9249 b=5.9249 c=5.9249 alpha=90.00 beta=90.00 gamma=90.00
Space group Pm-3m (No. 221)
Asymmetric unit:
Sr  0.0000  0.0000  0.0000
Pd  0.5000  0.5000  0.5000
Br  0.0000  0.0000  0.5000

Computed properties:
electronic total energy: -14.9 eV/cell
ΔE_f (raw): -0.610 eV/atom
density: 3.46 g/cm³
magnetization: 1.0 μB per cell

# SrPdBr2

Crystalline SrPdBr2 at its relaxed geometry (PBE, Alexandria via LeMat-Bulk).

Unit cell a=5.4138 b=5.4138 c=16.8397 alpha=90.00 beta=90.00 gamma=90.00
Space group I-42d (No. 122)
Asymmetric unit:
Sr  0.0000  0.0000  0.0000
Pd  0.0000  0.0000  0.5000
Br  0.2051  0.2500  0.6250

Computed properties:
electronic total energy: -57.2 eV/cell
ΔE_f (raw): -1.021 eV/atom
density: 4.76 g/cm³
magnetization: 0.0 μB per cell

# SrPdBr3

Crystalline SrPdBr3 at its relaxed geometry (PBE, Alexandria via LeMat-Bulk).

Unit cell a=5.2557 b=5.2557 c=5.2557 alpha=90.00 beta=90.00 gamma=90.00
Space group Pm-3m (No. 221)
Asymmetric unit:
Sr  0.0000  0.0000  0.0000
Pd  0.5000  0.5000  0.5000
Br  0.0000  0.5000  0.5000

Computed properties:
electronic total energy: -17.1 eV/cell
ΔE_f (raw): -1.042 eV/atom
density: 4.96 g/cm³
magnetization: 0.0 μB per cell

# SrPd2Br

Crystalline SrPd2Br at its relaxed geometry (PBE, Alexandria via LeMat-Bulk).

Unit cell a=7.1097 b=7.1097 c=7.1097 alpha=90.00 beta=90.00 gamma=90.00
Space group Fm-3m (No. 225)
Asymmetric unit:
Sr  0.0000  0.0000  0.0000
Pd  0.2500  0.2500  0.2500
Br  0.0000  0.0000  0.5000

Computed properties:
electronic total energy: -59.3 eV/cell
ΔE_f (raw): -0.271 eV/atom
density: 7.03 g/cm³
magnetization: 0.0 μB per cell

# Sr3Pd5Br12

Crystalline Sr3Pd5Br12 at its relaxed geometry (PBE, Alexandria via LeMat-Bulk).

Unit cell a=16.8011 b=16.8011 c=16.8011 alpha=90.00 beta=90.00 gamma=90.00
Space group Ia-3d (No. 230)
Asymmetric unit:
Sr  0.0000  0.2500  0.1250
Pd  0.0000  0.0000  0.0000
Pd  0.0000  0.2500  0.3750
Br  0.0257  0.0547  0.6474

Computed properties:
electronic total energy: -553.0 eV/cell
ΔE_f (raw): -0.902 eV/atom
density: 4.91 g/cm³
magnetization: 0.0 μB per cell

# SrPdBr2

Crystalline SrPdBr2 at its relaxed geometry (PBE, Alexandria via LeMat-Bulk).

Unit cell a=4.8933 b=4.8933 c=22.2544 alpha=90.00 beta=90.00 gamma=120.00
Space group R-3m (No. 166, hexagonal axes)
Asymmetric unit:
Sr  0.0000  0.0000  0.0000
Pd  0.0000  0.0000  0.5000
Br  0.0000  0.0000  0.3913

Computed properties:
electronic total energy: -43.3 eV/cell
ΔE_f (raw): -1.055 eV/atom
density: 3.82 g/cm³
magnetization: 0.0 μB per cell

# SrPd2Br

Crystalline SrPd2Br at its relaxed geometry (PBE, Alexandria via LeMat-Bulk).

Unit cell a=4.1724 b=4.1724 c=21.6436 alpha=90.00 beta=90.00 gamma=90.00
Space group I-42d (No. 122)
Asymmetric unit:
Sr  0.0000  0.0000  0.0000
Pd  0.2490  0.2500  0.1250
Br  0.0000  0.0000  0.5000

Computed properties:
electronic total energy: -62.1 eV/cell
ΔE_f (raw): -0.445 eV/atom
density: 6.71 g/cm³
magnetization: 0.0 μB per cell